## TbFeSi (meta-GGA SCAN)

Data for TbFeSi at its PBEsol-relaxed geometry.

Calculated values
Total moment (μB per formula unit): 0.0
Theoretical density (Mg/m³): 7.84
Uncorrected energy (eV/cell): -153.2

Cell and atoms, written as POSCAR:
```
TbFeSi
1.0
-0.9275 3.8499 -0.4172
-2.3404 -0.2155 3.2144
5.0244 1.6187 3.7669
Si Fe Tb
2 2 2
direct
0.5000 0.0000 0.1776
0.0000 0.5000 0.8224
0.0000 0.0000 0.0000
0.5000 0.5000 0.0000
0.0000 0.5000 0.3162
0.5000 0.0000 0.6838
```

## TbFeSi2 (meta-GGA SCAN)

Data for TbFeSi2 at its PBEsol-relaxed geometry.

Calculated values
Total moment (μB per formula unit): 0.0
Theoretical density (Mg/m³): 7.05
Uncorrected energy (eV/cell): -174.8

Cell and atoms, written as POSCAR:
```
TbFeSi2
1.0
-3.7485 0.1752 -1.2099
1.0830 -1.3420 -3.5497
-0.6426 -8.3779 0.7776
Tb Si Fe
2 4 2
direct
0.7500 0.3917 0.2166
0.2500 0.6083 0.7834
0.7500 0.1863 0.6274
0.2500 0.9622 0.0757
0.2500 0.8137 0.3726
0.7500 0.0378 0.9243
0.7500 0.7515 0.4970
0.2500 0.2485 0.5030
```

## TbFe4Si2 (meta-GGA SCAN)

Data for TbFe4Si2 at its PBEsol-relaxed geometry.

Calculated values
Total moment (μB per formula unit): 7.6
Theoretical density (Mg/m³): 8.07
Uncorrected energy (eV/cell): -283.5

Cell and atoms, written as POSCAR:
```
TbFe4Si2
1.0
3.6771 0.0000 0.0000
0.0000 7.0070 0.0000
0.0000 0.0000 7.0070
Fe Si Tb
8 4 2
direct
0.5000 0.6455 0.9164
0.0000 0.4164 0.8545
0.0000 0.8545 0.4164
0.0000 0.5836 0.1455
0.0000 0.1455 0.5836
0.5000 0.9164 0.6455
0.5000 0.0836 0.3545
0.5000 0.3545 0.0836
0.0000 0.2803 0.2803
0.5000 0.2197 0.7803
0.0000 0.7197 0.7197
0.5000 0.7803 0.2197
0.5000 0.5000 0.5000
0.0000 0.0000 0.0000
```

## Tb2FeSi2 (meta-GGA SCAN)

Data for Tb2FeSi2 at its PBEsol-relaxed geometry.

Calculated values
Total moment (μB per formula unit): 0.0
Theoretical density (Mg/m³): 7.76
Uncorrected energy (eV/cell): -269.8

Cell and atoms, written as POSCAR:
```
Tb2FeSi2
1.0
-2.0337 -3.5517 -0.1911
2.8898 -3.8640 -2.8620
2.9806 -4.4489 7.0419
Tb Si Fe
4 4 2
direct
0.1897 0.7279 0.8928
0.0027 0.6676 0.3270
0.9973 0.3324 0.6730
0.8103 0.2721 0.1072
0.3425 0.7502 0.5647
0.6575 0.2498 0.4353
0.4970 0.8777 0.1284
0.5030 0.1223 0.8716
0.7273 0.9233 0.6221
0.2727 0.0767 0.3779
```

## Fe2SiTc (meta-GGA SCAN)

Data for Fe2SiTc at its PBEsol-relaxed geometry.

Calculated values
Total moment (μB per formula unit): 4.1
Theoretical density (Mg/m³): 8.71
Uncorrected energy (eV/cell): -81.2

Cell and atoms, written as POSCAR:
```
Fe2SiTc
1.0
2.5875 -0.4484 0.0000
-1.7006 5.5796 0.0000
-0.4434 -2.5656 3.3140
Tc Fe Si
1 2 1
direct
0.0000 0.5000 0.0000
0.0000 0.0000 0.5000
0.5000 0.5000 0.5000
0.5000 0.0000 0.0000
```

## Fe2SiTc (meta-GGA SCAN)

Data for Fe2SiTc at its PBEsol-relaxed geometry.

Calculated values
Total moment (μB per formula unit): 3.3
Theoretical density (Mg/m³): 8.62
Uncorrected energy (eV/cell): -82.1

Cell and atoms, written as POSCAR:
```
Fe2SiTc
1.0
2.8969 0.0000 0.0000
0.0000 3.9413 0.0000
-1.4485 -1.9706 4.0107
Fe Si Tc
2 1 1
direct
0.2388 0.2388 0.4775
0.7612 0.7612 0.5225
0.5000 0.0000 0.0000
0.0000 0.5000 0.0000
```

Number 1: E_form (uncorrected) -1.680 eV per formula unit. Number 2: E_form (uncorrected) -2.500 eV per formula unit. Number 3: E_form (uncorrected) -2.456 eV per formula unit. Number 4: E_form (uncorrected) -3.210 eV per formula unit. Number 5: E_form (uncorrected) 0.166 eV per formula unit. Number 6: E_form (uncorrected) -0.776 eV per formula unit.